No. 1
An optimized crystal structure of Ni2MoW. Source: Alexandria, functional PBEsol.

Cell: 3.110 3.110 5.382 Å, 90.00 90.00 90.00°
Element x y z (fractional)
Ni 0.000 0.000 0.000
Ni 0.500 0.500 0.227
Mo 0.500 0.500 0.757
W 0.000 0.000 0.470

Properties
The calculation puts the total energy at -9.402 eV per atom. The space-group type is P4mm, No. 99. The calculation puts the distance to the lowest polymorph of the same formula at 13 meV per atom.

No. 2
An optimized crystal structure of MgHgRu. Source: Alexandria, functional PBEsol.

Cell: 3.273 3.273 9.394 Å, 90.00 90.00 90.00°
Element x y z (fractional)
Mg 0.000 0.000 0.000
Mg 0.500 0.500 0.500
Hg 0.000 0.000 0.682
Hg 0.500 0.500 0.182
Ru 0.000 0.000 0.352
Ru 0.500 0.500 0.852

Properties
The calculation puts the total energy at -3.928 eV per atom. The space-group type is I4mm, No. 107.

No. 3
An optimized crystal structure of TiReTc2. Source: Alexandria, functional PBEsol.

Cell: 6.123 6.123 6.123 Å, 90.00 90.00 90.00°
Element x y z (fractional)
Ti 0.000 0.000 0.000
Ti 0.000 0.500 0.500
Ti 0.500 0.000 0.500
Ti 0.500 0.500 0.000
Re 0.000 0.000 0.500
Re 0.000 0.500 0.000
Re 0.500 0.000 0.000
Re 0.500 0.500 0.500
Tc 0.250 0.250 0.250
Tc 0.250 0.250 0.750
Tc 0.250 0.750 0.250
Tc 0.250 0.750 0.750
Tc 0.750 0.250 0.250
Tc 0.750 0.250 0.750
Tc 0.750 0.750 0.250
Tc 0.750 0.750 0.750

Properties
The calculation puts the total energy at -11.305 eV per atom. The space-group type is Fm-3m, No. 225.

no.,energy of formation (eV/f.u.)
1,0.3
2,0.7
3,-1.0